The following is a DFT calculation (GGA-PBE) of Re3Br after structural relaxation.

Values from the calculation:
As for the energy relative to the lowest polymorph listed for this composition: 126 meV/atom.

Unit cell a=5.3717 b=9.6372 c=2.9428 alpha=90.00 beta=123.16 gamma=90.00
With the nearest neighbours (Å) after each atom.
Space group Cm (No. 8)
Symmetry-distinct sites (fractional):
Re  0.0000  0.0000  0.0000 x2  2 Br 2.49, 4 Re 2.71-2.72
Re  0.2741  0.2880  0.2761 x4  1 Br 2.52, 6 Re 2.71-2.79
Br  0.4467  0.0000  0.9463 x2  4 Re 2.49-2.52

=====

The following is a DFT calculation (GGA-PBE) of DyGa2Co2Si after structural relaxation.

Values from the calculation:
As for the total energy: -5.387 eV/atom.

Unit cell a=4.2365 b=4.2365 c=5.5090 alpha=90.00 beta=90.00 gamma=90.00
With the nearest neighbours (Å) after each atom.
Space group P4/mmm (No. 123)
Symmetry-distinct sites (fractional):
Dy  0.0000  0.0000  0.0000 x1  2 Si 2.75
Ga  0.5000  0.5000  0.2378 x2  4 Co 2.56, 1 Ga 2.62
Co  0.0000  0.5000  0.5000 x2  2 Si 2.12
Si  0.0000  0.0000  0.5000 x1  4 Co 2.12

=====

The following is a DFT calculation (GGA-PBE) of SrLuZnSn after structural relaxation.

Values from the calculation:
The formation energy from the elements comes out at -0.36 eV/atom.

Unit cell a=7.5559 b=7.5559 c=7.5559 alpha=90.00 beta=90.00 gamma=90.00
With the nearest neighbours (Å) after each atom.
Space group F-43m (No. 216)
Symmetry-distinct sites (fractional):
Sr  0.0000  0.0000  0.0000 x4  4 Sn 3.27, 4 Zn 3.27
Lu  0.0000  0.0000  0.5000 x4  4 Sn 3.27, 4 Zn 3.27
Zn  0.2500  0.2500  0.2500 x4  4 Sr 3.27, 4 Lu 3.27
Sn  0.2500  0.2500  0.7500 x4  4 Sr 3.27, 4 Lu 3.27

=====

The following is a DFT calculation (GGA-PBE) of SiOs3Rh after structural relaxation.

Values from the calculation:
As for the energy relative to the lowest polymorph listed for this composition: 0 meV/atom.

Unit cell a=4.3378 b=4.3378 c=4.3378 alpha=90.00 beta=90.00 gamma=90.00
With the nearest neighbours (Å) after each atom.
Space group Pm-3m (No. 221)
Symmetry-distinct sites (fractional):
Si  0.0000  0.0000  0.0000 x1  6 Os 2.17
Os  0.0000  0.0000  0.5000 x3  2 Si 2.17
Rh  0.5000  0.5000  0.5000 x1  12 Os 3.07

=====

The following is a DFT calculation (GGA-PBE) of ReTc2Sb after structural relaxation.

Values from the calculation:
As for the total energy: -9.063 eV/atom.

Unit cell a=9.3524 b=3.0789 c=4.6938 alpha=90.00 beta=106.28 gamma=90.00
With the nearest neighbours (Å) after each atom.
Space group Cm (No. 8)
Symmetry-distinct sites (fractional):
Re  0.0000  0.0000  0.0000 x2  7 Tc 2.59-2.87
Tc  0.2675  0.0000  0.8802 x2  3 Re 2.59-2.71, 4 Sb 2.75-2.87
Tc  0.4975  0.0000  0.5146 x2  3 Sb 2.68-2.69, 4 Re 2.74-2.87
Sb  0.2515  0.5000  0.3563 x2  7 Tc 2.68-2.87, 2 Re 2.91

=====

The following is a DFT calculation (GGA-PBE) of Hf2PaSn after structural relaxation.

Values from the calculation:
As for the energy relative to the lowest polymorph listed for this composition: 84 meV/atom. The formation energy from the elements comes out at -0.10 eV/atom.

Unit cell a=3.6901 b=3.6901 c=6.7060 alpha=90.00 beta=90.00 gamma=90.00
With the nearest neighbours (Å) after each atom.
Space group P4/mmm (No. 123)
Symmetry-distinct sites (fractional):
Hf  0.0000  0.0000  0.2447 x2  4 Sn 3.08, 4 Pa 3.12, 2 Hf 3.28-3.42
Pa  0.5000  0.5000  0.5000 x1  8 Hf 3.12, 2 Sn 3.35
Sn  0.5000  0.5000  0.0000 x1  8 Hf 3.08, 2 Pa 3.35

=====

The following is a DFT calculation (GGA-PBE) of CaAl2Hg after structural relaxation.

Values from the calculation:
The formation energy from the elements comes out at -0.25 eV/atom.

Unit cell a=4.6693 b=10.6930 c=7.0036 alpha=90.00 beta=90.00 gamma=90.00
With the nearest neighbours (Å) after each atom.
Space group Cmcm (No. 63)
Symmetry-distinct sites (fractional):
Ca  0.0000  0.0857  0.2500 x4  3 Hg 3.14-3.21, 10 Al 3.19-3.48
Al  0.0000  0.3800  0.0561 x8  2 Al 2.68-2.72, 3 Hg 2.82-2.86
Hg  0.0000  0.2081  0.7500 x4  6 Al 2.82-2.86, 1 Ca 3.14

=====

The following is a DFT calculation (GGA-PBE) of TbUGa2O8 after structural relaxation.

Values from the calculation:
As for the total energy: -7.510 eV/atom.

Unit cell a=6.6654 b=6.8325 c=6.7243 alpha=90.00 beta=90.00 gamma=90.00
With the nearest neighbours (Å) after each atom.
Space group Cmmm (No. 65)
Symmetry-distinct sites (fractional):
Tb  0.0000  0.0000  0.0000 x2  6 O 2.24-2.27
U  0.0000  0.0000  0.5000 x2  6 O 2.08-2.10
Ga  0.0000  0.5000  0.2504 x4  6 O 1.96-2.13
O  0.0000  0.3079  0.5000 x4  1 U 2.10, 2 Ga 2.13
O  0.0000  0.3282  0.0000 x4  2 Ga 2.05, 1 Tb 2.24
O  0.2061  0.0000  0.2681 x8  1 Ga 1.96, 1 U 2.08

=====

The following is a DFT calculation (GGA-PBE) of WCl after structural relaxation.

Values from the calculation:
As for the energy relative to the lowest polymorph listed for this composition: 907 meV/atom.

Unit cell a=8.8998 b=4.6812 c=5.4009 alpha=90.00 beta=90.00 gamma=90.00
With the nearest neighbours (Å) after each atom.
Space group Pmn2_1 (No. 31)
Symmetry-distinct sites (fractional):
W  0.0000  0.1919  0.0000 x2  4 Cl 2.54-2.80, 4 W 2.69-2.83
W  0.2486  0.9702  0.7365 x4  3 Cl 2.43-2.51, 3 W 2.69-2.71
Cl  0.0000  0.7207  0.7593 x2  4 W 2.51-2.80
Cl  0.1679  0.5238  0.2487 x4  3 W 2.43-2.54

=====

The following is a DFT calculation (GGA-PBE) of ZnCo2Ir after structural relaxation.

Values from the calculation:
The formation energy from the elements comes out at 0.02 eV/atom.

Unit cell a=2.8687 b=2.8687 c=6.1339 alpha=90.00 beta=90.00 gamma=90.00
With the nearest neighbours (Å) after each atom.
Space group P4mm (No. 99)
Symmetry-distinct sites (fractional):
Zn  0.0000  0.0000  0.0000 x1  4 Co 2.53, 4 Ir 2.64
Co  0.0000  0.0000  0.4645 x1  4 Co 2.43, 4 Ir 2.58
Co  0.5000  0.5000  0.2474 x1  4 Co 2.43, 4 Zn 2.53
Ir  0.5000  0.5000  0.7238 x1  4 Co 2.58, 4 Zn 2.64, 4 Ir 2.87

=====

The following is a DFT calculation (GGA-PBE) of Pm4Sm3Al after structural relaxation.

Values from the calculation:
The formation energy from the elements comes out at -0.07 eV/atom.

Unit cell a=3.6291 b=3.6291 c=19.4850 alpha=90.00 beta=90.00 gamma=90.00
With the nearest neighbours (Å) after each atom.
Space group P4/mmm (No. 123)
Symmetry-distinct sites (fractional):
Pm  0.0000  0.0000  0.0988 x2  4 Al 3.21
Pm  0.0000  0.0000  0.3665 x2  4 Pm 3.63, 8 Sm 3.63-3.65
Sm  0.5000  0.5000  0.2344 x2  4 Sm 3.63, 8 Pm 3.63-3.68
Sm  0.5000  0.5000  0.5000 x1  4 Sm 3.63, 8 Pm 3.65
Al  0.5000  0.5000  0.0000 x1  8 Pm 3.21

=====

The following is a DFT calculation (GGA-PBE) of HfSbPI2 after structural relaxation.

Values from the calculation:
As for the energy relative to the lowest polymorph listed for this composition: 0 meV/atom.

Unit cell a=5.5793 b=5.5793 c=5.7922 alpha=90.00 beta=90.00 gamma=90.00
With the nearest neighbours (Å) after each atom.
Space group P4/mmm (No. 123)
Symmetry-distinct sites (fractional):
Hf  0.0000  0.0000  0.0000 x1  4 I 2.79, 2 Sb 2.90
Sb  0.0000  0.0000  0.5000 x1  2 Hf 2.90
P  0.5000  0.5000  0.5000 x1  4 Sb 3.95, 8 I 4.02
I  0.0000  0.5000  0.0000 x2  2 Hf 2.79

=====

The following is a DFT calculation (GGA-PBE) of CaScB after structural relaxation.

Values from the calculation:
As for the energy relative to the lowest polymorph listed for this composition: 127 meV/atom. The formation energy from the elements comes out at -0.11 eV/atom.

Unit cell a=8.5363 b=3.2443 c=10.8749 alpha=90.00 beta=111.34 gamma=90.00
With the nearest neighbours (Å) after each atom.
Space group Cm (No. 8)
Symmetry-distinct sites (fractional):
Ca  0.0000  0.0000  0.0000 x2  2 Ca 3.24, 3 Sc 3.38-3.63
Ca  0.1270  0.0000  0.7035 x2  3 B 2.72-2.80
Sc  0.2497  0.5000  0.4535 x2  6 B 2.36-2.51
Sc  0.3783  0.0000  0.2500 x2  3 B 2.34-2.52
B  0.0174  0.0000  0.4356 x2  2 B 1.75
B  0.4826  0.0000  0.4809 x2  2 B 1.75

=====

The following is a DFT calculation (GGA-PBE) of NbGaNiH2 after structural relaxation.

Values from the calculation:
As for the total energy: -4.790 eV/atom.

Unit cell a=3.5566 b=3.5566 c=4.9584 alpha=90.00 beta=90.00 gamma=90.00
With the nearest neighbours (Å) after each atom.
Space group P4/mmm (No. 123)
Symmetry-distinct sites (fractional):
Nb  0.0000  0.0000  0.0000 x1  4 H 1.78
Ga  0.5000  0.5000  0.5000 x1  4 Ni 2.51
Ni  0.0000  0.0000  0.5000 x1  2 Nb 2.48, 4 Ga 2.51
H  0.0000  0.5000  0.0000 x2  2 Nb 1.78

=====

The following is a DFT calculation (GGA-PBE) of AcSiGe after structural relaxation.

Values from the calculation:
As for the energy relative to the lowest polymorph listed for this composition: 298 meV/atom.

Unit cell a=5.4262 b=6.6502 c=8.9958 alpha=90.00 beta=91.38 gamma=90.00
With the nearest neighbours (Å) after each atom.
Space group P2_1/c (No. 14)
Symmetry-distinct sites (fractional):
Ac  0.1436  0.2309  0.3851 x4  4 Ge 3.07-3.26, 2 Si 3.39-3.44
Si  0.3286  0.7317  0.3765 x4  3 Ge 2.49-2.65
Ge  0.3630  0.5449  0.6336 x4  3 Si 2.49-2.65

=====

The following is a DFT calculation (GGA-PBE) of Pm3Al6Ag5 after structural relaxation.

Values from the calculation:
The formation energy from the elements comes out at -0.34 eV/atom.

Unit cell a=4.4552 b=9.8873 c=13.0609 alpha=90.00 beta=90.00 gamma=90.00
With the nearest neighbours (Å) after each atom.
Space group Immm (No. 71)
Symmetry-distinct sites (fractional):
Pm  0.0000  0.0000  0.0000 x2  4 Al 3.26, 8 Ag 3.41
Pm  0.0000  0.0000  0.3002 x4  8 Ag 3.18-3.55, 8 Al 3.23-3.55
Al  0.0000  0.1950  0.5000 x4  4 Ag 2.67-2.95, 4 Al 2.82
Al  0.0000  0.2809  0.1310 x8  4 Ag 2.64-2.77, 2 Al 2.82
Ag  0.0000  0.3559  0.3357 x8  4 Al 2.64-2.77, 1 Ag 2.85
Ag  0.0000  0.5000  0.0000 x2  8 Al 2.76-2.95

=====

The following is a DFT calculation (GGA-PBE) of Cs2NiRhSe4 after structural relaxation.

Values from the calculation:
As for the total energy: -4.217 eV/atom.

Unit cell a=5.7861 b=14.6095 c=24.8120 alpha=90.00 beta=90.00 gamma=90.00
With the nearest neighbours (Å) after each atom.
Space group Fddd (No. 70, origin choice 2)
Symmetry-distinct sites (fractional):
Cs  0.1250  0.1250  0.3060 x16  8 Se 3.71-3.84
Ni  0.1250  0.1250  0.6250 x8  4 Se 2.33
Rh  0.1250  0.1250  0.1250 x8  4 Se 2.39
Se  0.1167  0.2857  0.8214 x32  1 Ni 2.33, 1 Rh 2.39

=====

The following is a DFT calculation (GGA-PBE) of KGaSn4 after structural relaxation.

Values from the calculation:
As for the energy relative to the lowest polymorph listed for this composition: 0 meV/atom. The formation energy from the elements comes out at 0.04 eV/atom.

Unit cell a=8.9327 b=8.9327 c=8.9327 alpha=90.00 beta=90.00 gamma=90.00
With the nearest neighbours (Å) after each atom.
Space group F-43m (No. 216)
Symmetry-distinct sites (fractional):
K  0.0000  0.0000  0.0000 x4  12 Sn 3.70, 4 Ga 3.87
Ga  0.2500  0.2500  0.7500 x4  12 Sn 3.70, 4 K 3.87
Sn  0.1245  0.1245  0.3755 x16  6 Sn 3.15-3.17

=====

The following is a DFT calculation (GGA-PBE) of Li6HgPb3 after structural relaxation.

Values from the calculation:
As for the energy relative to the lowest polymorph listed for this composition: 0 meV/atom. The formation energy from the elements comes out at -0.29 eV/atom.

Unit cell a=8.2907 b=4.9064 c=10.6856 alpha=90.00 beta=109.75 gamma=90.00
With the nearest neighbours (Å) after each atom.
Space group P2_1/m (No. 11)
Symmetry-distinct sites (fractional):
Li  0.0492  0.2500  0.4257 x2  7 Pb 2.94-3.25, 4 Li 2.97-3.18
Li  0.1826  0.7500  0.1866 x2  1 Hg 2.78, 2 Li 2.95, 5 Pb 2.99-3.06
Li  0.2629  0.2500  0.0153 x2  3 Hg 2.87-2.93, 4 Pb 3.00-3.11, 2 Li 3.12-3.16
Li  0.3433  0.2500  0.3262 x2  8 Li 2.95-3.16, 4 Pb 3.05-3.20
Li  0.3573  0.7500  0.7925 x2  3 Hg 2.97-2.98, 4 Pb 3.06-3.15, 4 Li 3.12-3.17
Li  0.4304  0.2500  0.6308 x2  1 Hg 2.83, 4 Pb 2.94-2.98, 4 Li 3.03-3.14
Hg  0.4517  0.7500  0.0874 x2  8 Li 2.78-2.98
Pb  0.0366  0.7500  0.8866 x2  9 Li 3.00-3.20, 2 Pb 3.29
Pb  0.1231  0.2500  0.7146 x2  8 Li 2.94-3.06, 2 Pb 3.29
Pb  0.2870  0.7500  0.4834 x2  11 Li 2.94-3.25

=====

The following is a DFT calculation (GGA-PBE) of Ta2VCuH after structural relaxation.

Values from the calculation:
As for the energy relative to the lowest polymorph listed for this composition: 0 meV/atom.

Unit cell a=4.2111 b=4.2111 c=3.6242 alpha=90.00 beta=90.00 gamma=90.00
With the nearest neighbours (Å) after each atom.
Space group P4/mmm (No. 123)
Symmetry-distinct sites (fractional):
Ta  0.0000  0.5000  0.0000 x2  2 H 2.11
V  0.0000  0.0000  0.5000 x1  2 H 1.81
Cu  0.5000  0.5000  0.5000 x1  8 Ta 2.78, 4 V 2.98
H  0.0000  0.0000  0.0000 x1  2 V 1.81

=====

The following is a DFT calculation (GGA-PBE) of PrY12Sc5 after structural relaxation.

Values from the calculation:
The formation energy from the elements comes out at 0.05 eV/atom.

Unit cell a=4.9675 b=14.9466 c=14.6648 alpha=90.00 beta=90.00 gamma=90.00
With the nearest neighbours (Å) after each atom.
Space group Cmmm (No. 65)
Symmetry-distinct sites (fractional):
Pr  0.0000  0.0000  0.0000 x2  8 Y 3.49-3.50, 4 Sc 3.55
Y  0.0000  0.0000  0.3415 x4  4 Sc 3.40, 8 Y 3.52-3.61
Y  0.0000  0.1683  0.1654 x8  3 Sc 3.42-3.47, 8 Y 3.48-3.61, 1 Pr 3.49
Y  0.0000  0.3330  0.3427 x8  4 Sc 3.39-3.40, 8 Y 3.51-3.60
Y  0.0000  0.5000  0.1677 x4  2 Pr 3.50, 8 Y 3.54-3.58, 2 Sc 3.54
Sc  0.0000  0.1664  0.5000 x4  8 Y 3.39-3.40, 4 Sc 3.51-3.52
Sc  0.0000  0.3299  0.0000 x4  8 Y 3.42-3.54, 2 Sc 3.44, 2 Pr 3.55
Sc  0.0000  0.5000  0.5000 x2  8 Y 3.40, 4 Sc 3.51

=====

The following is a DFT calculation (GGA-PBE) of EuTl2Cu after structural relaxation.

Values from the calculation:
As for the energy relative to the lowest polymorph listed for this composition: 0 meV/atom. The formation energy from the elements comes out at -0.10 eV/atom.

Unit cell a=4.5983 b=4.5983 c=17.5688 alpha=90.00 beta=90.00 gamma=120.00
With the nearest neighbours (Å) after each atom.
Space group R-3m (No. 166, hexagonal axes)
Symmetry-distinct sites (fractional):
Eu  0.0000  0.0000  0.0000 x3  6 Tl 3.31
Tl  0.0000  0.0000  0.2211 x6  3 Cu 2.82
Cu  0.0000  0.0000  0.5000 x3  6 Tl 2.82

=====

The following is a DFT calculation (GGA-PBE) of LiIrRh2 after structural relaxation.

Values from the calculation:
As for the energy relative to the lowest polymorph listed for this composition: 243 meV/atom. The formation energy from the elements comes out at 0.12 eV/atom.

Unit cell a=6.0374 b=6.0374 c=6.0374 alpha=90.00 beta=90.00 gamma=90.00
With the nearest neighbours (Å) after each atom.
Space group F-43m (No. 216)
Symmetry-distinct sites (fractional):
Li  0.0000  0.0000  0.0000 x4  4 Ir 2.61, 4 Rh 2.61
Ir  0.2500  0.2500  0.7500 x4  4 Rh 2.61, 4 Li 2.61
Rh  0.0000  0.0000  0.5000 x4  4 Rh 2.61, 4 Ir 2.61
Rh  0.2500  0.2500  0.2500 x4  4 Li 2.61, 4 Rh 2.61

=====

The following is a DFT calculation (GGA-PBE) of BaSi2Sb after structural relaxation.

Values from the calculation:
As for the total energy: -4.143 eV/atom.

Unit cell a=3.2799 b=5.1655 c=6.3452 alpha=90.00 beta=90.00 gamma=90.00
With the nearest neighbours (Å) after each atom.
Space group Pmmm (No. 47)
Symmetry-distinct sites (fractional):
Ba  0.0000  0.0000  0.0000 x1  2 Ba 3.28, 4 Sb 3.57, 8 Si 3.63
Si  0.5000  0.5000  0.3077 x2  1 Si 2.44
Sb  0.5000  0.0000  0.5000 x1  4 Si 2.86